1 | TbPm6Y2 after structural relaxation. Source: Alexandria via LeMat-Bulk, functional GGA-PBE.

As for the density of states at the Fermi level: 52.6 states/eV per cell. The value obtained for the total magnetic moment is 0.000 μB/atom.

a b c (Å): 15.2429 9.0354 9.0710
angles (deg): 90.00 91.69 90.00
Space group C2/c (No. 15)
Unique sites:
Tb  0.0000  0.2086  0.2500 (multiplicity 4)
Pm  0.0678  0.1561  0.6062 (multiplicity 8)
Pm  0.1108  0.4881  0.9232 (multiplicity 8)
Pm  0.1617  0.1423  0.9735 (multiplicity 8)
Y  0.2314  0.1860  0.3213 (multiplicity 8)


2 | TbPm6Y2 after structural relaxation. Source: Alexandria via LeMat-Bulk, functional GGA-PBE.

As for the density of states at the Fermi level: 29.5 states/eV per cell. The value obtained for the total magnetic moment is 0.091 μB/atom.

a b c (Å): 13.1143 7.5485 6.2272
angles (deg): 90.00 90.15 90.00
Space group C2/m (No. 12)
Unique sites:
Tb  0.0000  0.0000  0.0000 (multiplicity 2)
Pm  0.0940  0.2817  0.7067 (multiplicity 8)
Pm  0.1885  0.0000  0.2923 (multiplicity 4)
Y  0.1663  0.5000  0.2102 (multiplicity 4)


Of them, the most stable is 1 and the least stable is 2.


1 | Tb5Pm4Y after structural relaxation. Source: Alexandria via LeMat-Bulk, functional GGA-PBE.

As for the density of states at the Fermi level: 25.6 states/eV per cell. The value obtained for the total magnetic moment is 0.000 μB/atom.

a b c (Å): 25.6707 3.6037 7.1982
angles (deg): 90.00 98.06 90.00
Space group C2/m (No. 12)
Unique sites:
Tb  0.0000  0.0000  0.0000 (multiplicity 2)
Tb  0.2009  0.0000  0.1007 (multiplicity 4)
Tb  0.2006  0.0000  0.5999 (multiplicity 4)
Pm  0.1006  0.5000  0.2995 (multiplicity 4)
Pm  0.1007  0.5000  0.8015 (multiplicity 4)
Y  0.0000  0.0000  0.5000 (multiplicity 2)


2 | Tb5Pm4Y after structural relaxation. Source: Alexandria via LeMat-Bulk, functional GGA-PBE.

As for the density of states at the Fermi level: 27.4 states/eV per cell. The value obtained for the total magnetic moment is 0.000 μB/atom.

a b c (Å): 10.6684 10.6684 6.0018
angles (deg): 90.00 90.00 90.00
Space group I4mm (No. 107)
Unique sites:
Tb  0.0000  0.0000  0.0000 (multiplicity 2)
Tb  0.1892  0.1892  0.7409 (multiplicity 8)
Pm  0.0000  0.3243  0.2388 (multiplicity 8)
Y  0.0000  0.0000  0.4724 (multiplicity 2)


Of them, the most stable is 1 and the least stable is 2.


1 | Tb4Pm3Y5 after structural relaxation. Source: Alexandria via LeMat-Bulk, functional GGA-PBE.

As for the density of states at the Fermi level: 38.3 states/eV per cell. The value obtained for the total magnetic moment is 0.025 μB/atom.

a b c (Å): 16.1322 5.9397 9.3047
angles (deg): 90.00 116.19 90.00
Space group C2/m (No. 12)
Unique sites:
Tb  0.0819  0.0000  0.4422 (multiplicity 4)
Tb  0.2110  0.0000  0.8785 (multiplicity 4)
Pm  0.0000  0.5000  0.0000 (multiplicity 2)
Pm  0.2083  0.0000  0.2297 (multiplicity 4)
Y  0.0000  0.0000  0.0000 (multiplicity 2)
Y  0.0742  0.5000  0.7001 (multiplicity 4)
Y  0.1724  0.5000  0.3879 (multiplicity 4)


2 | Tb4Pm3Y5 after structural relaxation. Source: Alexandria via LeMat-Bulk, functional GGA-PBE.

As for the density of states at the Fermi level: 16.1 states/eV per cell. The value obtained for the total magnetic moment is 0.000 μB/atom.

a b c (Å): 6.2087 7.1748 8.7835
angles (deg): 90.04 90.12 90.18
Space group P-1 (No. 2)
Unique sites:
Tb  0.1664  0.9997  0.1657 (multiplicity 2)
Tb  0.3327  0.2488  0.8331 (multiplicity 2)
Pm  0.3340  0.7515  0.8334 (multiplicity 2)
Pm  0.5000  0.5000  0.5000 (multiplicity 1)
Y  0.0008  0.2494  0.5001 (multiplicity 2)
Y  0.1669  0.4999  0.1668 (multiplicity 2)
Y  0.5000  0.0000  0.5000 (multiplicity 1)


Of them, the most stable is 2 and the least stable is 1.


1 | Tb4PmY after structural relaxation. Source: Alexandria via LeMat-Bulk, functional GGA-PBE.

As for the density of states at the Fermi level: 35.0 states/eV per cell. The value obtained for the total magnetic moment is 0.000 μB/atom.

a b c (Å): 6.7526 12.0526 9.7908
angles (deg): 90.00 90.00 90.00
Space group Cmcm (No. 63)
Unique sites:
Tb  0.0000  0.1549  0.0698 (multiplicity 8)
Tb  0.2395  0.1039  0.7500 (multiplicity 8)
Pm  0.0000  0.3226  0.7500 (multiplicity 4)
Y  0.0000  0.5000  0.0000 (multiplicity 4)


2 | Tb4PmY after structural relaxation. Source: Alexandria via LeMat-Bulk, functional GGA-PBE.

As for the density of states at the Fermi level: 8.5 states/eV per cell. The value obtained for the total magnetic moment is 0.000 μB/atom.

a b c (Å): 3.5720 6.1960 9.4734
angles (deg): 77.35 79.26 73.47
Space group P-1 (No. 2)
Unique sites:
Tb  0.1674  0.4992  0.1656 (multiplicity 2)
Tb  0.1668  0.9995  0.6672 (multiplicity 2)
Pm  0.5000  0.5000  0.5000 (multiplicity 1)
Y  0.5000  0.0000  0.0000 (multiplicity 1)


Of them, the most stable is 2 and the least stable is 1.


1 | Tb4Pm2Y after structural relaxation. Source: Alexandria via LeMat-Bulk, functional GGA-PBE.

As for the density of states at the Fermi level: 26.9 states/eV per cell. The value obtained for the total magnetic moment is 0.000 μB/atom.

a b c (Å): 3.5862 3.5862 61.4496
angles (deg): 90.00 90.00 120.00
Space group R-3m (No. 166, hexagonal axes)
Unique sites:
Tb  0.0000  0.0000  0.1432 (multiplicity 6)
Tb  0.0000  0.0000  0.2861 (multiplicity 6)
Pm  0.0000  0.0000  0.4285 (multiplicity 6)
Y  0.0000  0.0000  0.0000 (multiplicity 3)


2 | Tb4Pm2Y after structural relaxation. Source: Alexandria via LeMat-Bulk, functional GGA-PBE.

As for the density of states at the Fermi level: 22.0 states/eV per cell. The value obtained for the total magnetic moment is 0.000 μB/atom.

a b c (Å): 16.9567 3.5589 8.8135
angles (deg): 90.00 119.85 90.00
Space group C2/m (No. 12)
Unique sites:
Tb  0.1444  0.0000  0.3440 (multiplicity 4)
Tb  0.2046  0.0000  0.7934 (multiplicity 4)
Pm  0.0700  0.5000  0.9309 (multiplicity 4)
Y  0.0000  0.5000  0.5000 (multiplicity 2)


Of them, the most stable is 1 and the least stable is 2.


1 | TbPm5Y after structural relaxation. Source: Alexandria via LeMat-Bulk, functional GGA-PBE.

As for the density of states at the Fermi level: 41.6 states/eV per cell. The value obtained for the total magnetic moment is 0.000 μB/atom.

a b c (Å): 6.1982 17.6690 8.9855
angles (deg): 90.00 101.24 90.00
Space group C2/c (No. 15)
Unique sites:
Tb  0.0000  0.0000  0.0000 (multiplicity 4)
Pm  0.0000  0.1422  0.2500 (multiplicity 4)
Pm  0.1142  0.3458  0.9642 (multiplicity 8)
Pm  0.2025  0.1861  0.6460 (multiplicity 8)
Y  0.0000  0.4896  0.2500 (multiplicity 4)


2 | TbPm5Y after structural relaxation. Source: Alexandria via LeMat-Bulk, functional GGA-PBE.

As for the density of states at the Fermi level: 25.2 states/eV per cell. The value obtained for the total magnetic moment is 0.000 μB/atom.

a b c (Å): 5.8948 8.7816 12.1069
angles (deg): 90.00 90.00 90.00
Space group Immm (No. 71)
Unique sites:
Tb  0.0000  0.0000  0.0000 (multiplicity 2)
Pm  0.0000  0.0000  0.2513 (multiplicity 4)
Pm  0.0000  0.3224  0.5000 (multiplicity 4)
Pm  0.0000  0.5000  0.0000 (multiplicity 2)
Y  0.0000  0.0000  0.5000 (multiplicity 2)


Of them, the most stable is 1 and the least stable is 2.


1 | Tb3Pm5Y after structural relaxation. Source: Alexandria via LeMat-Bulk, functional GGA-PBE.

As for the density of states at the Fermi level: 47.9 states/eV per cell. The value obtained for the total magnetic moment is 0.000 μB/atom.

a b c (Å): 12.7795 8.6994 10.9823
angles (deg): 90.00 90.00 90.00
Space group Cmcm (No. 63)
Unique sites:
Tb  0.0000  0.0000  0.0000 (multiplicity 4)
Tb  0.2069  0.0056  0.2500 (multiplicity 8)
Pm  0.0000  0.2403  0.2500 (multiplicity 4)
Pm  0.1416  0.3274  0.0296 (multiplicity 16)
Y  0.0000  0.3380  0.7500 (multiplicity 4)


2 | Tb3Pm5Y after structural relaxation. Source: Alexandria via LeMat-Bulk, functional GGA-PBE.

As for the density of states at the Fermi level: 55.7 states/eV per cell. The value obtained for the total magnetic moment is 0.000 μB/atom.

a b c (Å): 15.2975 11.6806 9.9071
angles (deg): 90.00 129.62 90.00
Space group C2/m (No. 12)
Unique sites:
Tb  0.0000  0.0000  0.0000 (multiplicity 2)
Tb  0.0000  0.5000  0.5000 (multiplicity 2)
Tb  0.0076  0.0000  0.3229 (multiplicity 4)
Tb  0.0146  0.5000  0.8527 (multiplicity 4)
Pm  0.0000  0.2464  0.5000 (multiplicity 4)
Pm  0.1468  0.2474  0.2401 (multiplicity 8)
Pm  0.2251  0.5000  0.5469 (multiplicity 4)
Pm  0.2276  0.0000  0.7329 (multiplicity 4)
Y  0.2494  0.0000  0.0920 (multiplicity 4)


Of them, the most stable is 1 and the least stable is 2.


1 | Tb4PmY7 after structural relaxation. Source: Alexandria via LeMat-Bulk, functional GGA-PBE.

As for the density of states at the Fermi level: 21.8 states/eV per cell. The value obtained for the total magnetic moment is 0.000 μB/atom.

a b c (Å): 6.5496 6.8352 9.1024
angles (deg): 85.82 76.78 82.01
Space group P-1 (No. 2)
Unique sites:
Tb  0.1389  0.3126  0.2851 (multiplicity 2)
Tb  0.3391  0.8829  0.6908 (multiplicity 2)
Pm  0.5000  0.5000  0.0000 (multiplicity 1)
Y  0.0145  0.2494  0.9500 (multiplicity 2)
Y  0.1806  0.8070  0.3614 (multiplicity 2)
Y  0.3112  0.3919  0.6135 (multiplicity 2)
Y  0.5000  0.0000  0.0000 (multiplicity 1)


2 | Tb4PmY7 after structural relaxation. Source: Alexandria via LeMat-Bulk, functional GGA-PBE.

As for the density of states at the Fermi level: 44.1 states/eV per cell. The value obtained for the total magnetic moment is 0.003 μB/atom.

a b c (Å): 12.1178 5.8867 12.7282
angles (deg): 90.00 117.53 90.00
Space group C2/m (No. 12)
Unique sites:
Tb  0.1363  0.0000  0.2752 (multiplicity 4)
Tb  0.2448  0.5000  0.1807 (multiplicity 4)
Pm  0.0000  0.5000  0.5000 (multiplicity 2)
Y  0.0000  0.0000  0.5000 (multiplicity 2)
Y  0.0603  0.5000  0.8250 (multiplicity 4)
Y  0.1344  0.0000  0.0019 (multiplicity 4)
Y  0.2106  0.5000  0.4226 (multiplicity 4)


Of them, the most stable is 1 and the least stable is 2.


1 | TbPm6Y4 after structural relaxation. Source: Alexandria via LeMat-Bulk, functional GGA-PBE.

As for the density of states at the Fermi level: 35.1 states/eV per cell. The value obtained for the total magnetic moment is 0.000 μB/atom.

a b c (Å): 6.7312 6.7312 16.9601
angles (deg): 90.00 90.00 90.00
Space group I-42m (No. 121)
Unique sites:
Tb  0.0000  0.0000  0.0000 (multiplicity 2)
Pm  0.0000  0.5000  0.0000 (multiplicity 4)
Pm  0.1888  0.1888  0.1753 (multiplicity 8)
Y  0.1781  0.1781  0.3760 (multiplicity 8)


2 | TbPm6Y4 after structural relaxation. Source: Alexandria via LeMat-Bulk, functional GGA-PBE.

As for the density of states at the Fermi level: 77.8 states/eV per cell. The value obtained for the total magnetic moment is 0.001 μB/atom.

a b c (Å): 5.8574 9.7411 25.9199
angles (deg): 90.00 90.00 90.00
Space group Cmcm (No. 63)
Unique sites:
Tb  0.0000  0.2092  0.2500 (multiplicity 4)
Pm  0.0000  0.1265  0.6827 (multiplicity 8)
Pm  0.0000  0.1975  0.1021 (multiplicity 8)
Pm  0.0000  0.4532  0.7500 (multiplicity 4)
Pm  0.0000  0.5000  0.0000 (multiplicity 4)
Y  0.0000  0.1513  0.5441 (multiplicity 8)
Y  0.0000  0.4612  0.6237 (multiplicity 8)


Of them, the most stable is 2 and the least stable is 1.


1 | Tb5PmY after structural relaxation. Source: Alexandria via LeMat-Bulk, functional GGA-PBE.

As for the density of states at the Fermi level: 31.8 states/eV per cell. The value obtained for the total magnetic moment is 0.000 μB/atom.

a b c (Å): 11.7697 6.7740 12.2532
angles (deg): 90.00 110.40 90.00
Space group C2/c (No. 15)
Unique sites:
Tb  0.0000  0.0888  0.2500 (multiplicity 4)
Tb  0.0788  0.2346  0.0002 (multiplicity 8)
Tb  0.2190  0.1325  0.7472 (multiplicity 8)
Pm  0.0000  0.4711  0.7500 (multiplicity 4)
Y  0.2500  0.2500  0.5000 (multiplicity 4)


2 | Tb5PmY after structural relaxation. Source: Alexandria via LeMat-Bulk, functional GGA-PBE.

As for the density of states at the Fermi level: 19.4 states/eV per cell. The value obtained for the total magnetic moment is 0.000 μB/atom.

a b c (Å): 5.8052 8.6378 11.9510
angles (deg): 90.00 90.00 90.00
Space group Immm (No. 71)
Unique sites:
Tb  0.0000  0.0000  0.0000 (multiplicity 2)
Tb  0.0000  0.1780  0.5000 (multiplicity 4)
Tb  0.0000  0.5000  0.2549 (multiplicity 4)
Pm  0.0000  0.5000  0.5000 (multiplicity 2)
Y  0.0000  0.5000  0.0000 (multiplicity 2)


Of them, the most stable is 1 and the least stable is 2.